(1)
This record from Alexandria via LeMat-Bulk describes CuReSe2N at its PBEsol-relaxed geometry. The functional is SCAN.

a = 3.686 Å, b = 4.941 Å, c = 4.941 Å
α = 90.00°, β = 90.00°, γ = 90.00°
Element x y z (fractional)
Se: 0.000 0.500 0.000
Se: 0.000 0.000 0.500
N: 0.500 0.000 0.000
Cu: 0.500 0.500 0.500
Re: 0.000 0.000 0.000

Output
symmetry	P4/mmm (123)
N(E_F)	2.4	states/eV per cell
formation energy (no corrections)	0.567	eV/atom

***

(2)
This record from Alexandria via LeMat-Bulk describes Te2IrPt at its PBEsol-relaxed geometry. The functional is SCAN.

a = 4.689 Å, b = 4.723 Å, c = 4.723 Å
α = 86.68°, β = 61.66°, γ = 118.32°
Element x y z (fractional)
Pt: 0.500 0.000 0.500
Te: 0.000 0.750 0.250
Te: 0.000 0.250 0.750
Ir: 0.500 0.500 0.000

Output
ΔE to the lowest computed polymorph	2.480	eV per formula unit
symmetry	Fmmm (69)
N(E_F)	2.3	states/eV per cell
formation energy (no corrections)	0.373	eV/atom

***

| no. | total magnetic moment (μB per formula unit) | volume (Å³/atom) |
| --- | --- | --- |
| 1 | 0.000 | 18.0 |
| 2 | 0.000 | 18.9 |